1.
Crystalline Hf2CrTc at its relaxed geometry, computed with GGA-PBE.

Geometry as CIF:
```
data_Hf2CrTc
_chemical_formula_sum 'Hf2 Cr1 Tc1'
_space_group_name_H-M_alt 'P 1'
_space_group_IT_number 1
_space_group_name_Hall 'P 1'
_cell_length_a 3.265
_cell_length_b 4.611
_cell_length_c 4.611
_cell_angle_alpha 90.00
_cell_angle_beta 90.00
_cell_angle_gamma 90.00
loop_
_atom_site_label
_atom_site_type_symbol
_atom_site_fract_x
_atom_site_fract_y
_atom_site_fract_z
_atom_site_occupancy
Hf1 Hf 0.000 0.500 0.000 1
Hf2 Hf 0.000 0.000 0.500 1
Cr1 Cr 0.500 0.000 0.000 1
Tc1 Tc 0.500 0.500 0.500 1
```

Calculated values
DFT total energy ... -10.177 eV/atom
SG ... No. 123
DOS(E_F) ... 0.846 states/eV/atom
Energy of formation ... -20 kJ per mole of atoms

2.
Crystalline Mn2IrRh at its relaxed geometry, computed with GGA-PBE.

Geometry as CIF:
```
data_Mn2IrRh
_chemical_formula_sum 'Mn2 Ir1 Rh1'
_space_group_name_H-M_alt 'P 1'
_space_group_IT_number 1
_space_group_name_Hall 'P 1'
_cell_length_a 2.657
_cell_length_b 2.657
_cell_length_c 7.381
_cell_angle_alpha 90.00
_cell_angle_beta 90.00
_cell_angle_gamma 90.00
loop_
_atom_site_label
_atom_site_type_symbol
_atom_site_fract_x
_atom_site_fract_y
_atom_site_fract_z
_atom_site_occupancy
Rh1 Rh 0.000 0.000 0.488 1
Mn1 Mn 0.000 0.000 0.006 1
Ir1 Ir 0.500 0.500 0.764 1
Mn2 Mn 0.500 0.500 0.242 1
```

Calculated values
DFT total energy ... -8.657 eV/atom
SG ... No. 99
DOS(E_F) ... 1.404 states/eV/atom
Energy of formation ... -2 kJ per mole of atoms